This record from Alexandria via LeMat-Bulk describes HfBeSb2P after structural relaxation. The functional is GGA-PBEsol.

Lattice parameters (Å, degrees): 5.0816 5.0816 4.7932 90.00 90.00 90.00
Space group P4/mmm (No. 123)
Unique sites:
Hf 0.0000 0.0000 0.0000 x1
Be 0.5000 0.5000 0.0000 x1
Sb 0.0000 0.5000 0.5000 x2
P 0.0000 0.0000 0.5000 x1

Summary:
- E: -5.03 eV/atom